Record 1
{"formula": "BeZn2InCo", "functional": "PBE", "state": "relaxed", "cell": [[4.497, 0.000, 0.000], [0.000, 4.776, 0.000], [0.000, 0.000, 4.497]], "species": ["In", "Be", "Co", "Zn", "Zn"], "frac_coords": [[0.000, 0.500, 0.000], [0.500, 0.500, 0.500], [0.000, 0.000, 0.000], [0.000, 0.000, 0.500], [0.500, 0.000, 0.000]], "mass_density_g_cm3": 5.392, "formation_enthalpy_0k_mev_per_atom": 725}

Record 2
{"formula": "NiAg2I", "functional": "PBE", "state": "relaxed", "cell": [[0.000, 3.437, 3.437], [3.437, 0.000, 3.437], [3.437, 3.437, 0.000]], "species": ["Ni", "Ag", "Ag", "I"], "frac_coords": [[0.000, 0.000, 0.000], [0.250, 0.250, 0.250], [0.750, 0.750, 0.750], [0.500, 0.500, 0.500]], "mass_density_g_cm3": 8.208, "e_form_raw_mev_per_atom": 658}

Record 3
{"formula": "Y4SbTe3", "functional": "PBE", "state": "relaxed", "cell": [[4.364, 0.000, 0.000], [0.000, 7.177, -2.447], [0.000, -0.059, 7.583]], "species": ["Te", "Y", "Te", "Y", "Te", "Y", "Sb", "Y"], "frac_coords": [[0.000, 0.000, 0.500], [0.000, 0.760, 0.760], [0.000, 0.500, 0.000], [0.500, 0.244, 0.756], [0.500, 0.500, 0.500], [0.000, 0.240, 0.240], [0.500, 0.000, 0.000], [0.500, 0.756, 0.244]], "mass_density_g_cm3": 6.030, "e_form_raw_mev_per_atom": -1304}

| no. | total moment (μB/f.u.) | DOS(E_F) (states/eV/cell) |
| --- | --- | --- |
| 1 | 0.0 | 2.202 |
| 2 | 0.5 | 4.438 |
| 3 | 0.0 | 3.648 |